A plane-wave DFT calculation with GGA-PBE was carried out for a relaxed structure of AcHg2Pd3.

The structure in POSCAR format:
```
AcHg2Pd3
1.0
5.9451 0.0000 0.0000
0.0000 6.5836 -2.0753
0.0000 -0.0121 6.9029
Ac Pd Hg
2 6 4
Direct
0.2500 0.6706 0.6706 Ac
0.7500 0.3294 0.3294 Ac
0.7500 0.9754 0.9754 Pd
0.2500 0.1863 0.4366 Pd
0.2500 0.4366 0.1863 Pd
0.2500 0.0246 0.0246 Pd
0.7500 0.5634 0.8137 Pd
0.7500 0.8137 0.5634 Pd
0.5000 0.2149 0.7851 Hg
0.5000 0.7851 0.2149 Hg
0.0000 0.7851 0.2149 Hg
0.0000 0.2149 0.7851 Hg
```

Calculated values
Offset from the most stable computed form: 0 meV per atom
Symmetry: Cmcm

=====

A plane-wave DFT calculation with GGA-PBE was carried out for a relaxed structure of Ac2HgPd.

The structure in POSCAR format:
```
Ac2HgPd
1.0
3.8868 0.0000 0.0000
0.0000 3.8868 0.0000
0.0000 0.0000 8.0279
Hg Ac Pd
1 2 1
Direct
0.5000 0.5000 0.5000 Hg
0.0000 0.0000 0.2301 Ac
0.0000 0.0000 0.7699 Ac
0.5000 0.5000 0.0000 Pd
```

Calculated values
Offset from the most stable computed form: 18 meV per atom
Symmetry: P4/mmm

=====

A plane-wave DFT calculation with GGA-PBE was carried out for a relaxed structure of Ac4HgPd2.

The structure in POSCAR format:
```
Ac4HgPd2
1.0
-0.4021 8.6785 0.2206
0.4977 -2.6877 -8.2497
-7.1563 -3.3159 3.6913
Ac Hg Pd
8 2 4
Direct
0.8551 0.6664 0.1874 Ac
0.4791 0.6677 0.8127 Ac
0.9177 0.2290 0.3126 Ac
0.9164 0.6051 0.6874 Ac
0.3949 0.0834 0.3124 Ac
0.3325 0.5210 0.1876 Ac
0.3334 0.1449 0.8124 Ac
0.7710 0.0825 0.6875 Ac
0.2499 0.7499 0.5000 Hg
0.0001 0.0001 0.0000 Hg
0.6251 0.8750 0.2501 Pd
0.6250 0.3749 0.2499 Pd
0.1250 0.3751 0.7501 Pd
0.6249 0.3750 0.7499 Pd
```

Calculated values
Symmetry: Fddd
E: -4.38 eV per atom

=====

A plane-wave DFT calculation with GGA-PBE was carried out for a relaxed structure of Ac3Hg5Pd6.

The structure in POSCAR format:
```
Ac3Hg5Pd6
1.0
-1.3597 0.0067 -4.5433
-5.4243 -6.9533 -0.8620
-8.5503 2.3235 0.0872
Hg Pd Ac
5 6 3
Direct
0.3177 0.0314 0.3331 Hg
0.6823 0.6669 0.9686 Hg
0.3177 0.3331 0.0314 Hg
0.6823 0.9686 0.6669 Hg
0.0000 0.5000 0.5000 Hg
0.1125 0.6181 0.1569 Pd
0.1125 0.1569 0.6181 Pd
0.8875 0.8431 0.3819 Pd
0.8875 0.3819 0.8431 Pd
0.5000 0.7098 0.2902 Pd
0.5000 0.2902 0.7098 Pd
0.6758 0.3242 0.3242 Ac
0.0000 0.0000 0.0000 Ac
0.3242 0.6758 0.6758 Ac
```

Calculated values
Symmetry: Immm
E: -3.80 eV per atom

=====

A plane-wave DFT calculation with GGA-PBE was carried out for a relaxed structure of Ac7Hg2Pd2.

The structure in POSCAR format:
```
Ac7Hg2Pd2
1.0
7.4216 -0.0028 -1.0643
0.0034 7.7648 0.0035
-1.5247 -0.0026 7.3409
Ac Pd Hg
7 2 2
Direct
0.0000 0.0000 0.0000 Ac
0.4997 0.2598 0.0002 Ac
0.5003 0.7402 0.9998 Ac
0.5002 0.7483 0.4998 Ac
0.0002 0.7402 0.4997 Ac
0.9998 0.2598 0.5003 Ac
0.4998 0.2517 0.5002 Ac
0.7052 0.0000 0.2948 Pd
0.2948 0.0000 0.7052 Pd
0.1717 0.5000 0.1717 Hg
0.8283 0.5000 0.8283 Hg
```

Calculated values
Symmetry: Cmmm
E: -3.94 eV per atom

=====

A plane-wave DFT calculation with GGA-PBE was carried out for a relaxed structure of Ac3Hg2Pd4.

The structure in POSCAR format:
```
Ac3Hg2Pd4
1.0
4.4319 0.0000 0.0000
-2.2159 5.6251 -2.6155
0.0000 -0.1192 9.4261
Hg Pd Ac
2 4 3
Direct
0.3451 0.6903 0.6800 Hg
0.6549 0.3097 0.3200 Hg
0.9320 0.8639 0.5836 Pd
0.7082 0.4165 0.0567 Pd
0.2918 0.5835 0.9433 Pd
0.0680 0.1361 0.4164 Pd
0.6407 0.2814 0.6950 Ac
0.3593 0.7186 0.3050 Ac
0.0000 0.0000 0.0000 Ac
```

Calculated values
Offset from the most stable computed form: 0 meV per atom
Symmetry: C2/m

=====

A plane-wave DFT calculation with GGA-PBE was carried out for a relaxed structure of Ac3HgPd2.

The structure in POSCAR format:
```
Ac3HgPd2
1.0
5.4893 0.0000 0.0000
-2.7447 6.8820 0.0000
0.0000 0.0000 10.2426
Pd Ac Hg
4 6 2
Direct
0.4701 0.9402 0.2500 Pd
0.0000 0.0000 0.5000 Pd
0.5299 0.0598 0.7500 Pd
0.0000 0.0000 0.0000 Pd
0.3665 0.7329 0.9546 Ac
0.3665 0.7329 0.5454 Ac
0.8973 0.7945 0.2500 Ac
0.1027 0.2055 0.7500 Ac
0.6335 0.2671 0.0454 Ac
0.6335 0.2671 0.4546 Ac
0.7701 0.5403 0.7500 Hg
0.2299 0.4597 0.2500 Hg
```

Calculated values
Offset from the most stable computed form: 103 meV per atom
Symmetry: Cmcm

=====

A plane-wave DFT calculation with GGA-PBE was carried out for a relaxed structure of Ac4Hg3Pd.

The structure in POSCAR format:
```
Ac4Hg3Pd
1.0
-3.4347 -0.8719 -1.8073
1.7366 -3.0866 -1.8112
-4.0541 -9.4878 12.2819
Hg Pd Ac
3 1 4
Direct
0.5000 0.5000 0.7550 Hg
0.5000 0.5000 0.5000 Hg
0.5000 0.5000 0.2450 Hg
0.5000 0.5000 0.0000 Pd
0.0000 0.0000 0.8879 Ac
0.0000 0.0000 0.1121 Ac
0.0000 0.0000 0.6291 Ac
0.0000 0.0000 0.3709 Ac
```

Calculated values
Symmetry: P4/mmm
E: -3.36 eV per atom